(1)
# Cs4Na5Au | the Alexandria database | PBE-GGA | relaxed
# energy of formation from the pure elements: -0.052 eV/atom
data_Cs4Na5Au
_chemical_formula_sum 'Cs8 Na10 Au2'
_cell_length_a 12.694
_cell_length_b 12.694
_cell_length_c 7.282
_cell_angle_alpha 90.00
_cell_angle_beta 90.00
_cell_angle_gamma 90.00
_symmetry_space_group_name_H-M 'I 4 m m'
_symmetry_Int_Tables_number 107
_symmetry_space_group_name_Hall 'I 4 -2'
loop_
_atom_site_label
_atom_site_type_symbol
_atom_site_fract_x
_atom_site_fract_y
_atom_site_fract_z
Cs1 Cs 0.000 0.289 0.000
Na1 Na 0.000 0.000 0.211
Na2 Na 0.143 0.143 0.545
Au1 Au 0.000 0.000 0.791


(2)
# Si2AgW | the Alexandria database | PBE-GGA | relaxed
# uncorrected formation energy: 1.21 eV per formula unit
# energy above the most stable polymorph in this dataset: 8.63 kJ/mol of atoms
data_Si2AgW
_chemical_formula_sum 'Si2 Ag1 W1'
_cell_length_a 2.817
_cell_length_b 4.101
_cell_length_c 5.311
_cell_angle_alpha 90.00
_cell_angle_beta 90.00
_cell_angle_gamma 90.00
_symmetry_space_group_name_H-M 'P m m 2'
_symmetry_Int_Tables_number 25
_symmetry_space_group_name_Hall 'P 2 -2'
loop_
_atom_site_label
_atom_site_type_symbol
_atom_site_fract_x
_atom_site_fract_y
_atom_site_fract_z
Si1 Si 0.000 0.000 0.000
Si2 Si 0.500 0.500 0.314
Ag1 Ag 0.500 0.500 0.807
W1 W 0.000 0.000 0.485


(3)
# Sr3Al2Ga2 | the Alexandria database | PBE-GGA | relaxed
# energy of formation from the pure elements: -0.310 eV/atom
data_Sr3Al2Ga2
_chemical_formula_sum 'Sr6 Al4 Ga4'
_cell_length_a 12.132
_cell_length_b 4.439
_cell_length_c 8.708
_cell_angle_alpha 90.00
_cell_angle_beta 115.74
_cell_angle_gamma 90.00
_symmetry_space_group_name_H-M 'C 1 2/m 1'
_symmetry_Int_Tables_number 12
_symmetry_space_group_name_Hall '-C 2y'
loop_
_atom_site_label
_atom_site_type_symbol
_atom_site_fract_x
_atom_site_fract_y
_atom_site_fract_z
Sr1 Sr 0.000 0.000 0.000
Sr2 Sr 0.189 0.000 0.638
Al1 Al 0.193 0.500 0.930
Ga1 Ga 0.019 0.500 0.341


(4)
# RbB3F12 | the Alexandria database | PBE-GGA | relaxed
# uncorrected formation energy: -39.53 eV per formula unit
data_RbB3F12
_chemical_formula_sum 'Rb6 B18 F72'
_cell_length_a 8.4215
_cell_length_b 8.4215
_cell_length_c 27.1295
_cell_angle_alpha 90.00
_cell_angle_beta 90.00
_cell_angle_gamma 120.00
_symmetry_space_group_name_H-M 'R 3 c'
_symmetry_Int_Tables_number 161
_symmetry_space_group_name_Hall 'R 3 -2"c'
loop_
_atom_site_label
_atom_site_type_symbol
_atom_site_fract_x
_atom_site_fract_y
_atom_site_fract_z
Rb1 Rb 0.0000 0.0000 0.0000
B1 B 0.0132 0.4495 0.4563
F1 F 0.0366 0.2863 0.1536
F2 F 0.0600 0.2429 0.3206
F3 F 0.1530 0.4352 0.4303
F4 F 0.2049 0.4310 0.2531


(5)
# YZr2Br | the Alexandria database | PBE-GGA | relaxed
# uncorrected formation energy: 2.03 eV per formula unit
# energy above the most stable polymorph in this dataset: 79.72 kJ/mol of atoms
data_YZr2Br
_chemical_formula_sum 'Y4 Zr8 Br4'
_cell_length_a 7.312
_cell_length_b 7.312
_cell_length_c 7.312
_cell_angle_alpha 90.00
_cell_angle_beta 90.00
_cell_angle_gamma 90.00
_symmetry_space_group_name_H-M 'F m -3 m'
_symmetry_Int_Tables_number 225
_symmetry_space_group_name_Hall '-F 4 2 3'
loop_
_atom_site_label
_atom_site_type_symbol
_atom_site_fract_x
_atom_site_fract_y
_atom_site_fract_z
Y1 Y 0.000 0.000 0.000
Zr1 Zr 0.250 0.250 0.250
Br1 Br 0.000 0.000 0.500


(6)
# Ce4SiPb | the Alexandria database | PBE-GGA | relaxed
# uncorrected formation energy: -1.03 eV per formula unit
# energy above the most stable polymorph in this dataset: 16.86 kJ/mol of atoms
data_Ce4SiPb
_chemical_formula_sum 'Ce8 Si2 Pb2'
_cell_length_a 8.022
_cell_length_b 9.048
_cell_length_c 5.078
_cell_angle_alpha 90.00
_cell_angle_beta 128.46
_cell_angle_gamma 90.00
_symmetry_space_group_name_H-M 'C 1 2/m 1'
_symmetry_Int_Tables_number 12
_symmetry_space_group_name_Hall '-C 2y'
loop_
_atom_site_label
_atom_site_type_symbol
_atom_site_fract_x
_atom_site_fract_y
_atom_site_fract_z
Ce1 Ce 0.244 0.171 0.259
Si1 Si 0.000 0.000 0.500
Pb1 Pb 0.000 0.500 0.000


(7)
# PmCuSbO | the Alexandria database | PBE-GGA | relaxed
# uncorrected formation energy: -6.47 eV per formula unit
data_PmCuSbO
_chemical_formula_sum 'Pm2 Cu2 Sb2 O2'
_cell_length_a 3.987
_cell_length_b 3.987
_cell_length_c 10.031
_cell_angle_alpha 90.00
_cell_angle_beta 90.00
_cell_angle_gamma 90.00
_symmetry_space_group_name_H-M 'P 4/n m m'
_symmetry_Int_Tables_number 129
loop_
_symmetry_equiv_pos_as_xyz
'x,y,z'
'-x,-y,-z'
'-y+1/2,x,z'
'y+1/2,-x,-z'
'-x+1/2,-y+1/2,z'
'x+1/2,y+1/2,-z'
'y,-x+1/2,z'
'-y,x+1/2,-z'
'x+1/2,-y,-z'
'-x+1/2,y,z'
'-y,-x,-z'
'y,x,z'
'-x,y+1/2,-z'
'x,-y+1/2,z'
'y+1/2,x+1/2,-z'
'-y+1/2,-x+1/2,z'
loop_
_atom_site_label
_atom_site_type_symbol
_atom_site_fract_x
_atom_site_fract_y
_atom_site_fract_z
Pm1 Pm 0.250 0.250 0.118
Cu1 Cu 0.250 0.750 0.500
Sb1 Sb 0.250 0.250 0.673
O1 O 0.250 0.750 0.000


(8)
# SrZn3Tc | the Alexandria database | PBE-GGA | relaxed
# energy of formation from the pure elements: 0.104 eV/atom
# energy above the most stable polymorph in this dataset: 0.00 kJ/mol of atoms
data_SrZn3Tc
_chemical_formula_sum 'Sr1 Zn3 Tc1'
_cell_length_a 4.884
_cell_length_b 4.884
_cell_length_c 4.884
_cell_angle_alpha 90.00
_cell_angle_beta 90.00
_cell_angle_gamma 90.00
_symmetry_space_group_name_H-M 'P m -3 m'
_symmetry_Int_Tables_number 221
_symmetry_space_group_name_Hall '-P 4 2 3'
loop_
_atom_site_label
_atom_site_type_symbol
_atom_site_fract_x
_atom_site_fract_y
_atom_site_fract_z
Sr1 Sr 0.000 0.000 0.000
Zn1 Zn 0.000 0.500 0.500
Tc1 Tc 0.500 0.500 0.500